1.
Here is crystalline LiDyMgAu at its relaxed geometry from the Alexandria database. Energies are from GGA-PBE.

abc: 4.881 4.881 4.881
angles: 60.00 60.00 60.00
Fractional coordinates of all 4 atoms:
Li1 0.000 0.000 0.000
Dy1 0.750 0.750 0.750
Mg1 0.250 0.250 0.250
Au1 0.500 0.500 0.500

The calculation puts the formation energy at -0.47 eV per atom. For the energy, the calculation gives -3.314 eV/atom. Its space-group type is F-43m, No. 216.

=====

2.
Here is crystalline LiDy2MgAu4 at its relaxed geometry from the Alexandria database. Energies are from GGA-PBE.

abc: 8.445 8.445 8.445
angles: 33.64 33.64 33.64
Fractional coordinates of all 8 atoms:
Li1 0.000 0.000 0.000
Dy1 0.251 0.251 0.251
Dy2 0.749 0.749 0.749
Mg1 0.500 0.500 0.500
Au1 0.125 0.125 0.125
Au2 0.375 0.375 0.375
Au3 0.625 0.625 0.625
Au4 0.875 0.875 0.875

The calculation puts the formation energy at -0.74 eV per atom. For the energy, the calculation gives -3.972 eV/atom. Its space-group type is R-3m, No. 166.

=====

3.
Here is crystalline LiNdDy2Au4 at its relaxed geometry from the Alexandria database. Energies are from GGA-PBE.

abc: 8.858 8.858 8.858
angles: 32.81 32.81 32.81
Fractional coordinates of all 8 atoms:
Li1 0.000 0.000 0.000
Nd1 0.500 0.500 0.500
Dy1 0.260 0.260 0.260
Dy2 0.740 0.740 0.740
Au1 0.113 0.113 0.113
Au2 0.378 0.378 0.378
Au3 0.622 0.622 0.622
Au4 0.887 0.887 0.887

The calculation puts the formation energy at -0.75 eV per atom. For the energy, the calculation gives -4.372 eV/atom. Its space-group type is R-3m, No. 166.